Here is a relaxed structure of Al2Ga2Fe from OQMD via LeMat-Bulk. Energies are from PBE-GGA.

Lattice parameters (Å, degrees): 3.566 3.566 6.992 104.77 104.77 90.00
Sites, in units of the cell vectors:
Al1 0.594 0.594 0.189
Al2 0.406 0.406 0.811
Fe1 0.000 0.000 0.000
Ga1 0.750 0.250 0.500
Ga2 0.250 0.750 0.500

Summary:
Space-group type: I4/mmm (139)
E, eV/cell: -20.16
Calculated volume, Å³/cell: 82.9
Total magnetic moment, μB/atom: 0.428
Theoretical density, g cm⁻³: 5.0

=====

Here is a relaxed structure of Ba2NiAgH6 from OQMD via LeMat-Bulk. Energies are from PBE-GGA.

Lattice parameters (Å, degrees): 5.621 5.621 5.621 60.00 60.00 60.00
Sites, in units of the cell vectors:
Ag1 0.500 0.500 0.500
Ba1 0.250 0.250 0.250
Ba2 0.750 0.750 0.750
H1 0.786 0.214 0.214
H2 0.214 0.786 0.214
H3 0.786 0.786 0.214
H4 0.214 0.214 0.786
H5 0.786 0.214 0.786
H6 0.214 0.786 0.786
Ni1 0.000 0.000 0.000

Summary:
Space-group type: Fm-3m (225)
E, eV/cell: -35.72
Calculated volume, Å³/cell: 125.6
Total magnetic moment, μB/atom: 0.001
Theoretical density, g cm⁻³: 5.9

=====

Here is a relaxed structure of HfCu2B from OQMD via LeMat-Bulk. Energies are from PBE-GGA.

Lattice parameters (Å, degrees): 4.154 4.154 4.154 60.00 60.00 60.00
Sites, in units of the cell vectors:
B1 0.500 0.500 0.500
Cu1 0.000 0.000 0.000
Cu2 0.750 0.750 0.750
Hf1 0.250 0.250 0.250

Summary:
Space-group type: F-43m (216)
E, eV/cell: -23.61
Calculated volume, Å³/cell: 50.7
Total magnetic moment, μB/atom: 0.000
Theoretical density, g cm⁻³: 10.4

=====

Here is a relaxed structure of HfZr2Re from OQMD via LeMat-Bulk. Energies are from PBE-GGA.

Lattice parameters (Å, degrees): 4.806 4.806 4.806 60.00 60.00 60.00
Sites, in units of the cell vectors:
Hf1 0.250 0.250 0.250
Re1 0.500 0.500 0.500
Zr1 0.000 0.000 0.000
Zr2 0.750 0.750 0.750

Summary:
Space-group type: F-43m (216)
E, eV/cell: -39.51
ΔE_f, kJ/mol of atoms: -0.9
Calculated volume, Å³/cell: 78.5
Total magnetic moment, μB/atom: 0.008
Theoretical density, g cm⁻³: 11.6